(1)
6
Lattice="1.5110 -0.6539 5.0525 -2.4016 -3.6353 3.0422 2.6089 -4.3982 1.4450" Properties=species:S:1:pos:R:3 comment="ZrAl4Au | Alexandria | PBE-GGA | optimized geometry" formation_energy_ev_per_atom=-0.1281 e_tot_ev_per_cell=-27.6 m_tot_mub_per_atom=0.00 dos_at_fermi_per_ev_atom=0.97 pbc="T T T"
Al -0.5598 -5.0771 5.0993
Al 1.9513 -5.4595 4.2988
Al 1.4011 -3.5829 6.1068
Al 0.6438 -3.2552 3.5746
Zr 0.0000 0.0000 0.0000
Au 1.2887 -6.5155 7.1548

---

(2)
10
Lattice="-3.4938 3.9633 0.5872 -4.4062 -3.5062 -2.5412 0.2748 -1.0176 8.5014" Properties=species:S:1:pos:R:3 comment="ErCd3Ag | Alexandria | PBE-GGA | optimized geometry" formation_energy_ev_per_atom=-0.0487 e_tot_ev_per_cell=-20.8 e_above_lowest_polymorph_ev_per_fu=0.55 m_tot_mub_per_atom=0.00 dos_at_fermi_per_ev_atom=0.51 pbc="T T T"
Cd 0.0000 0.0000 0.0000
Cd -1.7469 1.9817 0.2936
Cd -4.3089 1.2895 1.7570
Cd -3.3164 -1.8500 4.7904
Cd -1.2411 -0.2006 5.9997
Cd -6.3842 -0.3598 0.5477
Er -6.0198 -0.4931 3.6125
Er -1.6055 -0.0673 2.9348
Ag -3.8042 1.2755 4.8507
Ag -3.8211 -1.8360 1.6966

---

(3)
4
Lattice="4.9683 0.0000 0.0000 2.4841 4.3026 0.0000 2.4841 1.4342 4.0566" Properties=species:S:1:pos:R:3 comment="ErHfZnHg | Alexandria | PBE-GGA | optimized geometry" formation_energy_ev_per_atom=-0.1551 e_tot_ev_per_cell=-16.7 m_tot_mub_per_atom=0.23 dos_at_fermi_per_ev_atom=0.87 pbc="T T T"
Hg 2.4841 1.4342 1.0141
Er 0.0000 0.0000 0.0000
Hf 4.9683 2.8684 2.0283
Zn 7.4524 4.3026 3.0424

---

(4)
5
Lattice="-3.5835 -2.0125 -0.7277 2.1284 -3.4995 -0.8028 -0.2383 -1.1328 4.3063" Properties=species:S:1:pos:R:3 comment="ScTi2NbN | Alexandria | PBE-GGA | optimized geometry" formation_energy_uncorrected_ev_per_atom=-0.64 e_tot_ev_per_cell=-43.7 e_above_lowest_polymorph_ev_per_fu=0.00 m_tot_mub_per_atom=0.00 dos_at_fermi_per_ev_atom=0.95 pbc="T T T"
Nb -0.8467 -3.3224 1.3879
Ti -1.7917 -1.0063 -0.3639
Ti 1.0642 -1.7498 -0.4014
N 0.0000 0.0000 0.0000
Sc -0.1191 -0.5664 2.1531

---

(5)
14
Lattice="4.0638 0.0000 0.0000 0.0000 8.1802 0.0000 0.0000 -4.0901 7.0843" Properties=species:S:1:pos:R:3 comment="HoNi3Ge3 | Alexandria | PBE-GGA | optimized geometry" formation_energy_ev_per_atom=-0.3825 e_tot_ev_per_cell=-76.9 e_above_lowest_polymorph_ev_per_fu=0.00 m_tot_mub_per_atom=0.00 dos_at_fermi_per_ev_atom=0.66 pbc="T T T"
Ge 3.0479 1.9939 1.9735
Ge 1.0160 2.0962 5.1108
Ge 1.0160 -1.3841 6.3443
Ge 1.0160 -0.7122 2.7135
Ge 3.0479 4.8023 4.3708
Ge 3.0479 5.4742 0.7400
Ho 3.0479 0.0000 4.7228
Ho 1.0160 4.0901 2.3614
Ni 3.0479 2.9278 6.0486
Ni 3.0479 -2.6121 6.5955
Ni 1.0160 1.1623 1.0357
Ni 1.0160 6.7022 0.4888
Ni 3.0479 -0.3158 1.5244
Ni 1.0160 4.4058 5.5599

---

(6)
6
Lattice="3.2502 0.5807 4.0533 0.1936 4.5518 2.5640 -1.9109 0.3495 4.8535" Properties=species:S:1:pos:R:3 comment="Ir4RhBr | Alexandria | PBE-GGA | optimized geometry" formation_energy_uncorrected_ev_per_atom=1.06 e_tot_ev_per_cell=-38.1 m_tot_mub_per_atom=0.00 dos_at_fermi_per_ev_atom=2.02 pbc="T T T"
Rh 1.1497 4.1115 8.6031
Ir 0.6719 4.3273 5.5840
Ir 0.5754 2.0576 4.3054
Ir 2.1960 2.3472 6.3266
Ir -0.3775 2.2319 6.7256
Br 0.0000 0.0000 0.0000

---

(7)
5
Lattice="-1.7505 1.8990 -4.2614 -1.4821 -4.5420 -1.4152 -4.4237 0.7703 2.1604" Properties=species:S:1:pos:R:3 comment="CsTc3Ge | Alexandria | PBE-GGA | optimized geometry" formation_energy_ev_per_atom=3.1355 e_tot_ev_per_cell=-20.9 e_above_lowest_polymorph_ev_per_fu=7.35 m_tot_mub_per_atom=1.18 dos_at_fermi_per_ev_atom=0.81 pbc="T T T"
Tc -2.2118 0.3852 1.0802
Tc -0.8752 0.9495 -2.1307
Tc -0.7411 -2.2710 -0.7076
Ge -3.8281 -0.9364 -1.7581
Cs 0.0000 0.0000 0.0000

---

(8)
4
Lattice="-2.7461 1.2000 -0.4568 -1.2839 -2.5755 0.9531 -0.0204 1.9899 5.3498" Properties=species:S:1:pos:R:3 comment="EuH2Pd | Alexandria | PBE-GGA | optimized geometry" e_tot_ev_per_cell=-21.7 e_above_lowest_polymorph_ev_per_fu=1.07 m_tot_mub_per_atom=1.70 dos_at_fermi_per_ev_atom=0.86 pbc="T T T"
Pd -2.0150 -0.6877 0.2481
H -0.0145 1.4157 3.8060
H -0.0059 0.5742 1.5438
Eu -2.0252 0.3072 2.9230